# NaHg2Pd5 | the Alexandria database | PBE | relaxed
# Total magnetization   0.00 μB/f.u.
# Calculated density   11.7 g cm⁻³
# ΔH_f (0 K)   -0.161 eV per atom
# Energy relative to the lowest polymorph listed for this composition   0 meV per atom
data_NaHg2Pd5
_chemical_formula_sum 'Na2 Hg4 Pd10'
_cell_length_a 5.845
_cell_length_b 5.845
_cell_length_c 7.976
_cell_angle_alpha 90.00
_cell_angle_beta 90.00
_cell_angle_gamma 90.00
_space_group_name_H-M_alt 'I 4/m m m'
_space_group_IT_number 139
_space_group_name_Hall '-I 4 2'
loop_
_atom_site_label
_atom_site_fract_x
_atom_site_fract_y
_atom_site_fract_z
Na1 0.000 0.000 0.000
Hg1 0.000 0.500 0.000
Pd1 0.000 0.000 0.500
Pd2 0.250 0.250 0.250